First-principles (PBE) data for a relaxed structure of NaTl2S8, as listed in Alexandria via LeMat-Bulk. Values from VASP.

Results
Crystal system   triclinic
Final energy   -40.15 eV per formula unit

Structure (Quantum ESPRESSO input):
```
&SYSTEM
  ibrav = 0, nat = 11, ntyp = 3
/
ATOMIC_SPECIES
S 32.06 S.upf
Tl 204.38 Tl.upf
Na 22.99 Na.upf
CELL_PARAMETERS angstrom
10.272 -3.013 -0.263
-2.565 7.211 3.844
0.352 4.218 7.023
ATOMIC_POSITIONS crystal
S 0.604 0.241 0.747
S 0.396 0.759 0.253
S 0.972 0.765 0.738
S 0.028 0.235 0.262
S 0.238 0.507 0.908
Tl 0.564 0.619 0.681
Tl 0.436 0.381 0.319
S 0.913 0.418 0.647
S 0.087 0.582 0.353
S 0.762 0.493 0.092
Na 0.000 0.000 0.000
```


First-principles (PBE) data for a relaxed structure of NaTlS, as listed in Alexandria via LeMat-Bulk. Values from VASP.

Results
Energy above the lowest structure with this stoichiometry   45 meV per atom
Crystal system   trigonal

Structure (Quantum ESPRESSO input):
```
&SYSTEM
  ibrav = 0, nat = 3, ntyp = 3
/
ATOMIC_SPECIES
Na 22.99 Na.upf
S 32.06 S.upf
Tl 204.38 Tl.upf
CELL_PARAMETERS angstrom
-4.820 0.214 3.011
2.158 -0.677 3.502
-0.654 3.898 -1.324
ATOMIC_POSITIONS crystal
Na 0.752 0.667 0.333
S 0.984 0.000 0.000
Tl 0.264 0.333 0.667
```


First-principles (PBE) data for a relaxed structure of Na2TmTlS4, as listed in Alexandria via LeMat-Bulk. Values from VASP.

Results
Crystal system   monoclinic
Final energy   -35.30 eV per formula unit

Structure (Quantum ESPRESSO input):
```
&SYSTEM
  ibrav = 0, nat = 8, ntyp = 4
/
ATOMIC_SPECIES
S 32.06 S.upf
Tl 204.38 Tl.upf
Na 22.99 Na.upf
Tm 168.93 Tm.upf
CELL_PARAMETERS angstrom
3.920 0.000 0.000
0.000 6.868 0.077
0.000 -2.439 6.713
ATOMIC_POSITIONS crystal
S 0.500 0.759 0.776
Tl 0.000 0.000 0.000
S 0.500 0.241 0.224
S 0.000 0.732 0.231
S 0.000 0.268 0.769
Na 0.000 0.500 0.500
Tm 0.500 0.500 0.000
Na 0.500 0.000 0.500
```


First-principles (PBE) data for a relaxed structure of Na2UTl2S4, as listed in Alexandria via LeMat-Bulk. Values from VASP.

Results
Crystal system   monoclinic
Final energy   -43.37 eV per formula unit

Structure (Quantum ESPRESSO input):
```
&SYSTEM
  ibrav = 0, nat = 9, ntyp = 4
/
ATOMIC_SPECIES
Tl 204.38 Tl.upf
U 238.03 U.upf
Na 22.99 Na.upf
S 32.06 S.upf
CELL_PARAMETERS angstrom
4.062 0.000 0.000
0.000 7.848 0.460
-2.031 -2.615 7.977
ATOMIC_POSITIONS crystal
Tl 0.876 0.555 0.752
U 0.000 0.000 0.000
Na 0.672 0.876 0.344
S 0.838 0.891 0.676
S 0.499 0.237 0.998
Tl 0.124 0.445 0.248
S 0.501 0.763 0.002
Na 0.328 0.124 0.656
S 0.162 0.109 0.324
```


First-principles (PBE) data for a relaxed structure of Na3UTl2S6, as listed in Alexandria via LeMat-Bulk. Values from VASP.

Results
Crystal system   monoclinic
Final energy   -55.82 eV per formula unit

Structure (Quantum ESPRESSO input):
```
&SYSTEM
  ibrav = 0, nat = 12, ntyp = 4
/
ATOMIC_SPECIES
S 32.06 S.upf
Na 22.99 Na.upf
U 238.03 U.upf
Tl 204.38 Tl.upf
CELL_PARAMETERS angstrom
7.259 0.021 -0.023
-3.610 6.298 -0.023
-1.238 -2.144 6.501
ATOMIC_POSITIONS crystal
S 0.370 0.078 0.237
Na 0.500 0.500 0.500
S 0.078 0.370 0.237
U 0.000 0.000 0.000
S 0.209 0.209 0.772
S 0.791 0.791 0.228
Na 0.174 0.826 0.500
S 0.630 0.922 0.763
S 0.922 0.630 0.763
Tl 0.666 0.334 0.000
Tl 0.334 0.666 0.000
Na 0.826 0.174 0.500
```


First-principles (PBE) data for a relaxed structure of Na3U2TlS6, as listed in Alexandria via LeMat-Bulk. Values from VASP.

Results
Crystal system   monoclinic
Final energy   -68.14 eV per formula unit

Structure (Quantum ESPRESSO input):
```
&SYSTEM
  ibrav = 0, nat = 12, ntyp = 4
/
ATOMIC_SPECIES
S 32.06 S.upf
U 238.03 U.upf
Na 22.99 Na.upf
Tl 204.38 Tl.upf
CELL_PARAMETERS angstrom
-3.867 0.046 1.175
-0.282 -8.423 -0.598
4.481 0.872 7.762
ATOMIC_POSITIONS crystal
S 0.980 0.720 0.961
U 0.832 0.661 0.664
S 0.020 0.280 0.039
U 0.168 0.339 0.336
Na 0.845 0.161 0.691
Tl 0.500 0.000 0.000
Na 0.500 0.500 0.000
S 0.673 0.566 0.347
S 0.679 0.129 0.358
S 0.327 0.434 0.653
Na 0.155 0.839 0.309
S 0.321 0.871 0.642
```


First-principles (PBE) data for a relaxed structure of NaTlVS4, as listed in Alexandria via LeMat-Bulk. Values from VASP.

Results
Crystal system   orthorhombic
Final energy   -33.84 eV per formula unit

Structure (Quantum ESPRESSO input):
```
&SYSTEM
  ibrav = 0, nat = 14, ntyp = 4
/
ATOMIC_SPECIES
V 50.94 V.upf
S 32.06 S.upf
Na 22.99 Na.upf
Tl 204.38 Tl.upf
CELL_PARAMETERS angstrom
-4.047 -5.128 -0.877
5.920 -0.676 -2.816
3.209 -3.845 7.670
ATOMIC_POSITIONS crystal
V 0.860 0.140 0.750
S 0.758 0.242 0.946
S 0.242 0.758 0.054
S 0.758 0.242 0.554
Na 0.183 0.817 0.750
S 0.227 0.279 0.750
V 0.140 0.860 0.250
S 0.242 0.758 0.446
S 0.279 0.227 0.250
Tl 0.500 0.500 0.500
Na 0.817 0.183 0.250
S 0.721 0.773 0.750
Tl 0.500 0.500 0.000
S 0.773 0.721 0.250
```


First-principles (PBE) data for a relaxed structure of NaTl2VS4, as listed in Alexandria via LeMat-Bulk. Values from VASP.

Results
Crystal system   orthorhombic
Final energy   -37.46 eV per formula unit

Structure (Quantum ESPRESSO input):
```
&SYSTEM
  ibrav = 0, nat = 16, ntyp = 4
/
ATOMIC_SPECIES
S 32.06 S.upf
Tl 204.38 Tl.upf
V 50.94 V.upf
Na 22.99 Na.upf
CELL_PARAMETERS angstrom
-6.073 1.166 0.387
-1.638 -6.491 -6.134
-0.696 -5.687 6.203
ATOMIC_POSITIONS crystal
S 0.940 0.290 0.215
S 0.940 0.290 0.785
Tl 0.916 0.660 0.213
S 0.385 0.182 0.000
V 0.033 0.173 0.000
Na 0.441 0.885 0.000
Tl 0.416 0.340 0.713
Tl 0.416 0.340 0.287
S 0.440 0.710 0.285
V 0.533 0.827 0.500
S 0.440 0.710 0.715
S 0.885 0.818 0.500
S 0.929 0.947 0.000
S 0.429 0.053 0.500
Na 0.941 0.115 0.500
Tl 0.916 0.660 0.787
```


First-principles (PBE) data for a relaxed structure of NaTlWS4, as listed in Alexandria via LeMat-Bulk. Values from VASP.

Results
Crystal system   monoclinic
Final energy   -37.83 eV per formula unit

Structure (Quantum ESPRESSO input):
```
&SYSTEM
  ibrav = 0, nat = 14, ntyp = 4
/
ATOMIC_SPECIES
S 32.06 S.upf
Tl 204.38 Tl.upf
Na 22.99 Na.upf
W 183.84 W.upf
CELL_PARAMETERS angstrom
-2.019 6.497 1.010
-2.889 0.087 -6.336
-6.406 -5.205 2.849
ATOMIC_POSITIONS crystal
S 0.015 0.003 0.263
Tl 0.744 0.750 0.935
S 0.015 0.497 0.263
Na 0.232 0.250 0.547
W 0.220 0.750 0.318
S 0.985 0.503 0.737
Na 0.768 0.750 0.453
Tl 0.256 0.250 0.065
S 0.603 0.250 0.427
S 0.397 0.750 0.573
S 0.985 0.997 0.737
S 0.419 0.750 0.161
W 0.780 0.250 0.682
S 0.581 0.250 0.839
```


First-principles (PBE) data for a relaxed structure of Na2Tl3WS6, as listed in Alexandria via LeMat-Bulk. Values from VASP.

Results
Crystal system   monoclinic
Final energy   -54.06 eV per formula unit

Structure (Quantum ESPRESSO input):
```
&SYSTEM
  ibrav = 0, nat = 12, ntyp = 4
/
ATOMIC_SPECIES
Tl 204.38 Tl.upf
Na 22.99 Na.upf
S 32.06 S.upf
W 183.84 W.upf
CELL_PARAMETERS angstrom
7.054 -0.027 -0.013
-3.549 6.097 -0.013
-1.183 -2.048 6.699
ATOMIC_POSITIONS crystal
Tl 0.500 0.500 0.500
Na 0.333 0.667 0.000
S 0.073 0.350 0.207
W 0.000 0.000 0.000
Tl 0.162 0.838 0.500
Na 0.667 0.333 0.000
S 0.927 0.650 0.793
S 0.650 0.927 0.793
S 0.787 0.787 0.210
S 0.350 0.073 0.207
Tl 0.838 0.162 0.500
S 0.213 0.213 0.790
```


First-principles (PBE) data for a relaxed structure of NaTl2WS4, as listed in Alexandria via LeMat-Bulk. Values from VASP.

Results
Crystal system   tetragonal
Final energy   -39.73 eV per formula unit

Structure (Quantum ESPRESSO input):
```
&SYSTEM
  ibrav = 0, nat = 8, ntyp = 4
/
ATOMIC_SPECIES
Tl 204.38 Tl.upf
S 32.06 S.upf
W 183.84 W.upf
Na 22.99 Na.upf
CELL_PARAMETERS angstrom
6.739 0.301 0.461
-2.600 6.225 -0.461
-2.600 -2.927 5.513
ATOMIC_POSITIONS crystal
Tl 0.000 0.000 0.000
S 0.032 0.187 0.521
Tl 0.500 0.750 0.250
S 0.334 0.845 0.813
S 0.968 0.489 0.155
W 0.000 0.500 0.500
Na 0.500 0.250 0.750
S 0.666 0.479 0.511
```


First-principles (PBE) data for a relaxed structure of NaTl2ZnS4, as listed in Alexandria via LeMat-Bulk. Values from VASP.

Results
Crystal system   orthorhombic
Final energy   -27.66 eV per formula unit

Structure (Quantum ESPRESSO input):
```
&SYSTEM
  ibrav = 0, nat = 8, ntyp = 4
/
ATOMIC_SPECIES
S 32.06 S.upf
Zn 65.41 Zn.upf
Na 22.99 Na.upf
Tl 204.38 Tl.upf
CELL_PARAMETERS angstrom
6.344 0.055 0.000
-0.472 6.327 0.000
-2.936 -3.191 5.344
ATOMIC_POSITIONS crystal
S 0.388 0.832 0.221
S 0.152 0.152 0.755
S 0.832 0.388 0.221
Zn 0.501 0.501 0.003
Na 0.010 0.010 0.019
S 0.603 0.603 0.755
Tl 0.257 0.757 0.513
Tl 0.757 0.257 0.513
```